GGA-PBE Y3Ho5Se8, relaxed; crystal system = trigonal; E = -6.12 eV per atom
1.0
7.055 0.000 4.041
2.370 6.645 4.041
0.021 0.015 8.142
Ho Se Y
5 8 3
Direct
0.000 0.500 0.000
0.500 0.000 0.000
0.500 0.500 0.000
0.500 0.500 0.500
0.000 0.000 0.000
0.748 0.250 0.752
0.750 0.252 0.248
0.250 0.250 0.752
0.251 0.251 0.247
0.750 0.750 0.248
0.252 0.750 0.248
0.250 0.748 0.752
0.749 0.749 0.753
0.000 0.000 0.500
0.500 0.000 0.500
0.000 0.500 0.500

GGA-PBE Y2Ho3Se4, relaxed; crystal system = trigonal; E = -6.05 eV per atom
1.0
-1.383 -3.622 -0.854
2.814 1.637 -2.272
11.764 -6.781 9.690
Ho Y Se
3 2 4
Direct
0.334 0.666 0.583
0.666 0.334 0.417
0.000 0.000 0.000
0.667 0.333 0.792
0.333 0.667 0.208
0.667 0.333 0.103
0.333 0.667 0.897
0.000 0.000 0.689
0.000 0.000 0.311

GGA-PBE Y2HoSe3, relaxed; crystal system = orthorhombic; E = -6.41 eV per atom
1.0
4.095 0.000 0.000
0.000 5.747 0.000
-2.047 -2.873 6.105
Se Y Ho
3 2 1
Direct
0.500 0.000 0.500
0.836 0.336 0.171
0.164 0.664 0.829
0.169 0.169 0.838
0.831 0.831 0.162
0.500 0.500 0.500

GGA-PBE Y3Ho2Se6, relaxed; crystal system = trigonal; E = -6.28 eV per atom
1.0
4.104 0.000 0.000
2.052 3.554 0.000
2.052 1.185 20.164
Y Se Ho
3 6 2
Direct
0.279 0.279 0.162
0.721 0.721 0.838
0.000 0.000 0.000
0.639 0.639 0.082
0.197 0.197 0.409
0.083 0.083 0.752
0.803 0.803 0.591
0.917 0.917 0.248
0.361 0.361 0.918
0.553 0.553 0.340
0.447 0.447 0.660

GGA-PBE Y3HoSe6, relaxed; crystal system = trigonal; E = -6.34 eV per atom
1.0
8.394 0.027 0.028
-0.155 8.392 0.028
-0.155 -0.158 8.391
Se Ho Y
12 2 6
Direct
0.408 0.181 0.538
0.089 0.915 0.685
0.315 0.911 0.085
0.181 0.538 0.408
0.462 0.592 0.819
0.538 0.408 0.181
0.685 0.089 0.915
0.592 0.819 0.462
0.085 0.315 0.911
0.911 0.085 0.315
0.819 0.462 0.592
0.915 0.685 0.089
0.500 0.500 0.500
0.000 0.000 0.000
0.755 0.430 0.921
0.245 0.570 0.079
0.570 0.079 0.245
0.921 0.755 0.430
0.079 0.245 0.570
0.430 0.921 0.755

GGA-PBE Y3Ho2Se8, relaxed; crystal system = monoclinic; E = -6.05 eV per atom
1.0
-5.389 -1.707 -4.097
0.403 -7.724 2.687
-2.627 5.951 5.026
Se Y Ho
8 3 2
Direct
0.586 0.116 0.752
0.925 0.120 0.239
0.586 0.636 0.752
0.414 0.884 0.248
0.414 0.364 0.248
0.096 0.380 0.761
0.075 0.880 0.761
0.904 0.620 0.239
0.000 0.261 0.000
0.500 0.000 0.000
0.000 0.739 0.000
0.338 0.257 0.514
0.662 0.743 0.486

GGA-PBE YHo2Se3, relaxed; crystal system = orthorhombic; E = -6.08 eV per atom
1.0
-2.387 0.668 -3.250
3.780 -2.725 -3.336
-3.576 -4.231 4.327
Se Ho Y
3 2 1
Direct
0.831 0.331 0.162
0.500 0.000 0.500
0.169 0.669 0.838
0.164 0.164 0.829
0.836 0.836 0.171
0.500 0.500 0.500

GGA-PBE Y2Ho6Se3, relaxed; crystal system = trigonal; E = -5.50 eV per atom
1.0
3.765 0.000 0.373
1.864 3.271 0.373
-0.596 -0.346 25.187
Ho Se Y
6 3 2
Direct
0.358 0.358 0.927
0.185 0.185 0.445
0.815 0.815 0.555
0.073 0.073 0.780
0.642 0.642 0.073
0.927 0.927 0.220
0.285 0.285 0.144
0.715 0.715 0.856
0.000 0.000 0.000
0.444 0.444 0.668
0.556 0.556 0.332

GGA-PBE Y6HoSe8, relaxed; crystal system = cubic; E = -6.59 eV per atom
1.0
1.661 0.073 7.968
5.498 -5.164 3.059
7.178 2.789 2.636
Se Ho Y
8 1 6
Direct
0.750 0.750 0.750
0.252 0.252 0.748
0.252 0.748 0.748
0.748 0.252 0.252
0.748 0.748 0.252
0.250 0.250 0.250
0.252 0.748 0.252
0.748 0.252 0.748
0.000 0.000 0.000
0.500 0.000 0.500
0.500 0.500 0.000
0.500 0.000 0.000
0.000 0.500 0.000
0.000 0.500 0.500
0.000 0.000 0.500

GGA-PBE Y3HoSe4, relaxed; crystal system = monoclinic; E = -6.49 eV per atom
1.0
-1.086 -3.826 -5.869
-1.131 -4.072 5.696
-7.783 2.185 0.016
Se Y Ho
8 6 2
Direct
0.999 0.249 0.626
0.001 0.751 0.374
0.499 0.249 0.374
0.501 0.751 0.626
0.000 0.752 0.876
0.500 0.752 0.124
0.000 0.248 0.124
0.500 0.248 0.876
0.250 0.500 0.874
0.250 0.000 0.625
0.750 0.500 0.126
0.750 0.000 0.375
0.750 0.500 0.625
0.250 0.500 0.375
0.750 0.000 0.875
0.250 0.000 0.125

GGA-PBE Y4Ho2Se9, relaxed; crystal system = triclinic; E = -6.29 eV per atom
1.0
-6.230 -2.913 -2.098
-2.334 -6.078 3.058
-9.399 10.406 13.499
Se Ho Y
18 4 8
Direct
0.332 0.028 0.584
0.304 0.000 0.250
0.331 0.640 0.083
0.669 0.360 0.917
0.029 0.330 0.083
0.642 0.331 0.584
0.639 0.029 0.083
0.361 0.971 0.917
0.358 0.669 0.416
0.028 0.640 0.583
0.696 0.000 0.750
0.001 0.304 0.750
0.971 0.670 0.917
0.696 0.304 0.250
0.304 0.696 0.750
0.972 0.360 0.417
0.999 0.696 0.250
0.668 0.972 0.416
0.000 0.999 0.152
0.000 0.001 0.848
0.001 0.998 0.653
0.999 0.002 0.347
0.667 0.666 0.015
0.333 0.334 0.985
0.666 0.667 0.319
0.334 0.333 0.486
0.334 0.333 0.681
0.666 0.667 0.514
0.332 0.334 0.181
0.668 0.666 0.819

GGA-PBE YHoSe3, relaxed; crystal system = monoclinic; E = -6.14 eV per atom
1.0
-1.021 -3.518 -1.697
7.658 -1.154 -2.216
0.800 -3.716 7.221
Ho Se Y
2 6 2
Direct
0.750 0.144 0.681
0.250 0.856 0.319
0.250 0.893 0.679
0.250 0.378 0.611
0.750 0.622 0.389
0.750 0.107 0.321
0.750 0.320 0.982
0.250 0.680 0.018
0.750 0.616 0.770
0.250 0.384 0.230

GGA-PBE YHo6Se8, relaxed; crystal system = trigonal; E = -5.58 eV per atom
1.0
-5.719 -1.094 -5.414
-1.879 -6.330 4.429
-4.047 5.261 4.377
Se Ho Y
8 6 1
Direct
0.144 0.690 0.392
0.226 0.226 0.226
0.392 0.144 0.690
0.774 0.774 0.774
0.690 0.392 0.144
0.856 0.310 0.608
0.608 0.856 0.310
0.310 0.608 0.856
0.193 0.384 0.558
0.442 0.807 0.616
0.616 0.442 0.807
0.558 0.193 0.384
0.384 0.558 0.193
0.807 0.616 0.442
0.000 0.000 0.000

GGA-PBE Y2HoSe4, relaxed; crystal system = orthorhombic; E = -6.32 eV per atom
1.0
-3.606 -0.390 -1.583
0.994 -5.625 4.070
-5.438 6.791 10.714
Y Se Ho
4 8 2
Direct
0.870 0.740 0.570
0.130 0.260 0.070
0.870 0.740 0.930
0.130 0.260 0.430
0.778 0.556 0.377
0.973 0.946 0.750
0.222 0.444 0.623
0.778 0.556 0.123
0.027 0.054 0.250
0.500 0.000 0.000
0.222 0.444 0.877
0.500 0.000 0.500
0.373 0.745 0.250
0.627 0.255 0.750

GGA-PBE Y4HoSe5, relaxed; crystal system = tetragonal; E = -6.54 eV per atom
1.0
-0.534 -5.501 1.701
5.321 -4.181 -2.022
2.887 -1.372 6.298
Ho Se Y
1 5 4
Direct
0.002 0.000 0.000
0.900 0.398 0.803
0.501 0.000 0.000
0.101 0.602 0.197
0.703 0.197 0.398
0.298 0.803 0.602
0.802 0.797 0.600
0.403 0.400 0.797
0.199 0.203 0.400
0.599 0.600 0.203

GGA-PBE YHoSe3, relaxed; crystal system = trigonal; E = -6.16 eV per atom
1.0
-3.023 1.396 6.370
-1.695 -5.397 4.433
4.304 -0.956 6.307
Se Ho Y
6 2 2
Direct
0.248 0.556 0.251
0.945 0.248 0.251
0.556 0.945 0.251
0.752 0.444 0.749
0.444 0.055 0.749
0.055 0.752 0.749
0.847 0.847 0.458
0.153 0.153 0.542
0.652 0.652 0.044
0.348 0.348 0.956

GGA-PBE YHo4Se5, relaxed; crystal system = tetragonal; E = -5.95 eV per atom
1.0
-0.495 1.677 3.660
-0.001 -3.687 1.689
14.551 1.735 -1.073
Ho Se Y
4 5 1
Direct
0.797 0.797 0.593
0.402 0.402 0.804
0.203 0.203 0.407
0.598 0.598 0.196
0.898 0.898 0.797
0.302 0.302 0.604
0.698 0.698 0.396
0.102 0.102 0.203
0.500 0.500 0.000
0.000 0.000 0.000

GGA-PBE Y2Ho4Se9, relaxed; crystal system = triclinic; E = -6.04 eV per atom
1.0
7.178 -0.001 0.014
3.587 6.220 0.039
-0.046 -0.098 19.446
Ho Se Y
8 18 4
Direct
0.334 0.333 0.681
0.666 0.667 0.319
0.666 0.667 0.514
0.333 0.334 0.986
0.667 0.666 0.014
0.332 0.334 0.181
0.668 0.666 0.819
0.334 0.333 0.486
0.693 0.307 0.250
0.336 0.636 0.083
0.001 0.307 0.750
0.664 0.364 0.917
0.306 0.000 0.250
0.364 0.972 0.917
0.028 0.637 0.583
0.307 0.693 0.750
0.028 0.334 0.083
0.972 0.363 0.417
0.972 0.666 0.917
0.362 0.665 0.417
0.638 0.335 0.583
0.999 0.693 0.250
0.664 0.973 0.417
0.636 0.028 0.083
0.694 0.000 0.750
0.336 0.027 0.583
0.000 0.999 0.152
0.001 0.998 0.652
0.000 0.001 0.848
0.999 0.002 0.348

GGA-PBE Y3HoSe4, relaxed; crystal system = cubic; E = -6.48 eV per atom
1.0
5.770 0.000 0.000
0.000 5.770 0.000
0.000 0.000 5.770
Se Ho Y
4 1 3
Direct
0.000 0.500 0.000
0.500 0.500 0.500
0.500 0.000 0.000
0.000 0.000 0.500
0.000 0.000 0.000
0.500 0.500 0.000
0.500 0.000 0.500
0.000 0.500 0.500